Record 1
Computed, not measured: a relaxed structure of Mg2Tc at the GGA-PBEsol level of DFT.

Summary:
For the formation energy from the elements, the calculation gives 314.4 meV/atom. As for the space-group type: Immm.

Unit cell a=4.9514 b=4.9514 c=4.9514 alpha=148.61 beta=127.63 gamma=62.34
Sites, in units of the cell vectors:
Mg 0.1632 0.1632 0.0000
Mg 0.8368 0.8368 0.0000
Tc 0.5000 0.5000 0.0000

Record 2
Computed, not measured: a relaxed structure of TaS2Br at the GGA-PBEsol level of DFT.

Summary:
For the uncorrected formation energy, the calculation gives -266 kJ/mol of formula units. As for the space-group type: R-3m.

Unit cell a=10.0694 b=10.0694 c=10.0694 alpha=18.76 beta=18.76 gamma=18.76
Sites, in units of the cell vectors:
Ta 0.0000 0.0000 0.0000
S 0.3856 0.3856 0.3856
S 0.6144 0.6144 0.6144
Br 0.5000 0.5000 0.5000